No. 1
Pr12TlNi6 | PBE-GGA | relaxed

a b c (Å): 8.7922 8.7922 8.7922
angles (deg): 109.47 109.47 109.47
Sites, in units of the cell vectors:
Pr: 0.1858 0.6928 0.8786
Pr: 0.3072 0.1214 0.8142
Ni: 0.5000 0.1207 0.6207
Pr: 0.8786 0.1858 0.6928
Pr: 0.5070 0.8142 0.6928
Pr: 0.1858 0.3072 0.4930
Ni: 0.1207 0.6207 0.5000
Pr: 0.8142 0.6928 0.5070
Pr: 0.6928 0.8786 0.1858
Pr: 0.8142 0.3072 0.1214
Pr: 0.3072 0.4930 0.1858
Pr: 0.6928 0.5070 0.8142
Ni: 0.8793 0.3793 0.5000
Ni: 0.5000 0.8793 0.3793
Pr: 0.1214 0.8142 0.3072
Tl: 0.0000 0.0000 0.0000
Ni: 0.3793 0.5000 0.8793
Ni: 0.6207 0.5000 0.1207
Pr: 0.4930 0.1858 0.3072

formation enthalpy at 0 K: -0.248 eV/atom



No. 2
V6CrRh2 | PBE-GGA | relaxed

a b c (Å): 4.2308 5.7858 6.8186
angles (deg): 115.10 108.03 90.00
Sites, in units of the cell vectors:
V: 0.5000 0.2277 0.0000
Rh: 0.6710 0.6710 0.3420
V: 0.8450 0.5932 0.6898
V: 0.5000 0.7723 0.0000
V: 0.8450 0.0966 0.6898
Rh: 0.3290 0.3290 0.6580
V: 0.1550 0.4068 0.3102
Cr: 0.0000 0.0000 0.0000
V: 0.1550 0.9034 0.3102

formation enthalpy at 0 K: 0.367 eV/atom



No. 3
LiBeSi | PBE-GGA | relaxed

a b c (Å): 5.9746 5.9746 5.9746
angles (deg): 155.03 155.03 35.60
Sites, in units of the cell vectors:
Li: 0.3376 0.3376 0.0000
Si: 0.6506 0.6506 0.0000
Be: 0.0118 0.0118 0.0000

formation energy without anion corrections: 157 meV/atom
excess energy over the best structure of this formula in the dataset: 198 meV per atom



No. 4
KMnAgP | PBE-GGA | relaxed

a b c (Å): 3.8291 3.8291 12.4560
angles (deg): 90.00 90.00 90.00
Sites, in units of the cell vectors:
K: 0.2500 0.2500 0.7435
Mn: 0.7500 0.2500 0.0000
P: 0.2500 0.2500 0.1001
Mn: 0.2500 0.7500 0.0000
P: 0.7500 0.7500 0.8999
Ag: 0.2500 0.7500 0.5000
Ag: 0.7500 0.2500 0.5000
K: 0.7500 0.7500 0.2565

formation enthalpy at 0 K: -0.280 eV/atom



No. 5
Tb5NdDyTm2 | PBE-GGA | relaxed

a b c (Å): 5.6047 10.3325 10.5206
angles (deg): 90.00 90.00 105.74
Sites, in units of the cell vectors:
Tb: 0.6121 0.2242 0.5236
Tm: 0.8886 0.7772 0.2354
Tb: 0.4783 0.9565 0.7378
Nd: 0.5848 0.1695 0.9506
Tb: 0.7016 0.4031 0.2087
Tb: 0.0174 0.0348 0.0236
Tm: 0.1114 0.2228 0.7354
Tb: 0.5217 0.0435 0.2378
Tb: 0.2984 0.5969 0.7087
Dy: 0.8008 0.6017 0.5124
Tb: 0.2808 0.5616 0.3128
Nd: 0.4152 0.8305 0.4506
Tb: 0.3879 0.7758 0.0236
Tb: 0.9826 0.9652 0.5236
Tm: 0.8858 0.7716 0.8189
Dy: 0.1992 0.3983 0.0124
Tm: 0.1142 0.2284 0.3189
Tb: 0.7192 0.4384 0.8128

formation enthalpy at 0 K: 0.160 eV/atom



No. 6
HfTa2RhS | PBE-GGA | relaxed

a b c (Å): 4.7843 5.0395 4.7843
angles (deg): 90.00 90.00 90.00
Sites, in units of the cell vectors:
Rh: 0.0000 0.0000 0.0000
Hf: 0.0000 0.5000 0.0000
Ta: 0.5000 0.0000 0.0000
S: 0.5000 0.5000 0.5000
Ta: 0.0000 0.0000 0.5000

formation energy without anion corrections: 928 meV/atom